# 1
Entry from the Alexandria database: a relaxed structure of Zr2PaPd (PBE).

Lattice parameters (Å, degrees): 5.1319 5.1319 3.1802 90.00 90.00 90.00
Closest atoms and distances in Å follow each position.
Space group P4/mmm (No. 123)
Unique sites:
1 Zr 0.0000 0.5000 0.0000  4 Pa 3.02, 4 Pd 3.02, 2 Zr 3.18
2 Pa 0.0000 0.0000 0.5000  8 Zr 3.02, 2 Pa 3.18
3 Pd 0.5000 0.5000 0.5000  8 Zr 3.02, 2 Pd 3.18

Computed properties:
* polymorph energy (0 for the lowest one): 59.1 meV/atom
* mass density: 10.3 g cm⁻³
* volume: 20.9 Å³/atom
* energy of formation: -0.20 eV/atom

---

# 2
Entry from the Alexandria database: a relaxed structure of CaTb2HoSb4 (PBE).

Lattice parameters (Å, degrees): 7.6747 4.3911 7.6891 90.00 109.12 90.00
Closest atoms and distances in Å follow each position.
Space group P2/m (No. 10)
Unique sites:
1 Ca 0.0000 0.0000 0.0000  6 Sb 3.16
2 Tb 0.5000 0.0000 0.5000  6 Sb 3.09-3.10
3 Tb 0.5000 0.5000 0.0000  6 Sb 3.14
4 Ho 0.0000 0.5000 0.5000  6 Sb 3.12
5 Sb 0.2506 0.0000 0.7462  3 Tb 3.10-3.14, 2 Ho 3.12, 1 Ca 3.16
6 Sb 0.2546 0.5000 0.2563  3 Tb 3.09-3.14, 1 Ho 3.12, 2 Ca 3.16

Computed properties:
* mass density: 6.8 g cm⁻³
* volume: 30.6 Å³/atom
* formation energy without anion corrections: -100.0 kJ per mole of atoms

---

Please write out number 1 again, unchanged.
Entry from the Alexandria database: a relaxed structure of Zr2PaPd (PBE).

Lattice parameters (Å, degrees): 5.1319 5.1319 3.1802 90.00 90.00 90.00
Closest atoms and distances in Å follow each position.
Space group P4/mmm (No. 123)
Unique sites:
1 Zr 0.0000 0.5000 0.0000  4 Pa 3.02, 4 Pd 3.02, 2 Zr 3.18
2 Pa 0.0000 0.0000 0.5000  8 Zr 3.02, 2 Pa 3.18
3 Pd 0.5000 0.5000 0.5000  8 Zr 3.02, 2 Pd 3.18

Computed properties:
* polymorph energy (0 for the lowest one): 59.1 meV/atom
* mass density: 10.3 g cm⁻³
* volume: 20.9 Å³/atom
* energy of formation: -0.20 eV/atom

---

Question: What is the formula in the second record?
Answer: CaTb2HoSb4